i:
Here is an optimized crystal structure of BaCdAg4 from Alexandria via LeMat-Bulk. Energies are from PBE-GGA.

It has space group F-43m (No. 216), with a = 8.232 Å, b = 8.232 Å, c = 8.232 Å, α = 90.00°, β = 90.00° and γ = 90.00°. The asymmetric unit holds Ba at (0.000, 0.000, 0.000), Cd at (0.250, 0.250, 0.750) and Ag at (0.124, 0.124, 0.376).

For the size of the total moment, the calculation gives 0.00 μB/atom. As for the volume: 558 Å³ per cell.

---

ii:
Here is an optimized crystal structure of BaCdAg4 from Alexandria via LeMat-Bulk. Energies are from PBE-GGA.

It has space group Pbam (No. 55), with a = 9.033 Å, b = 17.976 Å, c = 3.763 Å, α = 90.00°, β = 90.00° and γ = 90.00°. The asymmetric unit holds Ba at (0.129, 0.153, 0.000), Cd at (0.131, 0.412, 0.000), Ag at (0.023, 0.694, 0.500), Ag at (0.118, 0.548, 0.500), Ag at (0.130, 0.963, 0.500) and Ag at (0.211, 0.812, 0.500).

For the size of the total moment, the calculation gives 0.00 μB/atom. As for the volume: 611 Å³ per cell.

---

Order of stability, best first: i, ii